1.
A plane-wave DFT calculation with PBE was carried out for PaBeGa after structural relaxation.

Geometry as POSCAR:
```
PaBeGa
1.0
-1.948 1.948 3.952
1.948 -1.948 3.952
1.948 1.948 -3.952
Pa Be Ga
1 1 1
Cartesian
0.000 0.000 0.000
0.000 0.000 2.804
0.000 0.000 5.106
```

Properties
Density of states at the Fermi level, states/eV per cell: 5.147
Offset from the most stable computed form, meV per atom: 651
Calculated volume, Å³/atom: 19.992
Calculated density, g cm⁻³: 8.6
Formation enthalpy at 0 K, meV/atom: 465
Raw total energy, eV per atom: -4.951


2.
A plane-wave DFT calculation with PBE was carried out for SrLiZnAg2 after structural relaxation.

Geometry as POSCAR:
```
SrLiZnAg2
1.0
-2.154 2.154 6.143
2.154 -2.154 6.143
2.154 2.154 -6.143
Sr Li Zn Ag
1 1 1 2
Cartesian
0.000 0.000 0.000
0.000 2.154 3.072
2.154 0.000 3.072
0.000 0.000 4.723
0.000 0.000 7.564
```

Properties
Density of states at the Fermi level, states/eV per cell: 2.015
Offset from the most stable computed form, meV per atom: 0
Calculated volume, Å³/atom: 22.810
Calculated density, g cm⁻³: 5.5
Formation enthalpy at 0 K, meV/atom: -227
Raw total energy, eV per atom: -2.342


3.
A plane-wave DFT calculation with PBE was carried out for LiPu3Tl4 after structural relaxation.

Geometry as POSCAR:
```
LiPu3Tl4
1.0
3.350 0.000 0.000
0.000 3.350 0.000
0.000 0.000 17.990
Li Pu Tl
1 3 4
Cartesian
0.000 0.000 0.000
0.000 0.000 4.162
0.000 0.000 8.995
0.000 0.000 13.829
1.675 1.675 1.764
1.675 1.675 6.571
1.675 1.675 11.420
1.675 1.675 16.227
```

Properties
Density of states at the Fermi level, states/eV per cell: 18.919
Calculated volume, Å³/atom: 25.230
Calculated density, g cm⁻³: 12.8
Formation enthalpy at 0 K, meV/atom: -82
Raw total energy, eV per atom: -6.879


4.
A plane-wave DFT calculation with PBE was carried out for LaSmHf after structural relaxation.

Geometry as POSCAR:
```
LaSmHf
1.0
-1.699 1.699 7.819
1.699 -1.699 7.819
1.699 1.699 -7.819
La Sm Hf
1 1 1
Cartesian
0.000 0.000 0.000
0.000 0.000 10.856
0.000 0.000 5.341
```

Properties
Density of states at the Fermi level, states/eV per cell: 4.421
Offset from the most stable computed form, meV per atom: 39
Calculated volume, Å³/atom: 30.086
Calculated density, g cm⁻³: 8.6
Formation enthalpy at 0 K, meV/atom: 166
Raw total energy, eV per atom: -6.367


5.
A plane-wave DFT calculation with PBE was carried out for NiPRu2 after structural relaxation.

Geometry as POSCAR:
```
NiPRu2
1.0
3.648 0.000 0.000
0.000 1.405 5.052
0.000 -1.405 5.052
Ni P Ru
1 1 2
Cartesian
0.000 0.000 0.000
1.824 0.000 5.871
0.000 0.000 7.357
1.824 0.000 3.615
```

Properties
Density of states at the Fermi level, states/eV per cell: 3.876
Calculated volume, Å³/atom: 12.948
Calculated density, g cm⁻³: 9.4
Formation enthalpy at 0 K, meV/atom: -131
Raw total energy, eV per atom: -7.567


6.
A plane-wave DFT calculation with PBE was carried out for BeNi2W after structural relaxation.

Geometry as POSCAR:
```
BeNi2W
1.0
2.570 0.000 0.000
0.000 3.740 0.000
-1.174 0.000 4.838
Be Ni W
1 2 1
Cartesian
0.000 0.000 0.000
0.796 1.870 1.124
0.600 1.870 3.714
-0.587 0.000 2.419
```

Properties
Density of states at the Fermi level, states/eV per cell: 3.679
Calculated volume, Å³/atom: 11.627
Calculated density, g cm⁻³: 11.1
Formation enthalpy at 0 K, meV/atom: -14
Raw total energy, eV per atom: -7.075


7.
A plane-wave DFT calculation with PBE was carried out for Sm2ErIn9 after structural relaxation.

Geometry as POSCAR:
```
Sm2ErIn9
1.0
4.665 0.000 0.000
0.000 4.665 0.000
0.000 0.000 13.979
Sm Er In
2 1 9
Cartesian
0.000 0.000 2.347
0.000 0.000 11.633
0.000 0.000 6.990
0.000 2.333 0.000
0.000 2.333 4.703
0.000 2.333 9.277
2.333 0.000 0.000
2.333 0.000 4.703
2.333 0.000 9.277
2.333 2.333 2.337
2.333 2.333 6.990
2.333 2.333 11.643
```

Properties
Density of states at the Fermi level, states/eV per cell: 4.513
Calculated volume, Å³/atom: 25.353
Calculated density, g cm⁻³: 8.2
Formation enthalpy at 0 K, meV/atom: -434
Raw total energy, eV per atom: -3.654


8.
A plane-wave DFT calculation with PBE was carried out for CaY2Cl after structural relaxation.

Geometry as POSCAR:
```
CaY2Cl
1.0
1.961 -3.048 0.000
1.961 3.048 0.000
0.000 0.000 10.117
Ca Y Cl
1 2 1
Cartesian
0.000 0.000 0.000
0.000 0.000 4.468
1.961 0.000 7.164
1.961 0.000 2.198
```

Properties
Density of states at the Fermi level, states/eV per cell: 4.202
Offset from the most stable computed form, meV per atom: 94
Calculated volume, Å³/atom: 30.246
Calculated density, g cm⁻³: 3.5
Raw total energy, eV per atom: -4.830